(1)
A plane-wave DFT calculation with PBE-GGA was carried out for a relaxed BeAgBr2 crystal.

Output
**Raw formation energy**: -46 kJ/mol of formula units
**Polymorph energy (0 for the lowest one)**: 0.175 eV/atom
**Symmetry**: Immm
**Crystal system**: orthorhombic

Unit cell a=6.981 b=6.981 c=6.981 alpha=153.28 beta=130.50 gamma=57.14
Sites, in units of the cell vectors:
Be  0.000  0.000  0.000
Ag  0.500  0.500  0.000
Br  0.131  0.631  0.500
Br  0.869  0.369  0.500

=====

(2)
A plane-wave DFT calculation with PBE-GGA was carried out for a relaxed La2Mg16Pb crystal.

Output
**ΔE_f**: -1.89 eV per formula unit
**Symmetry**: R3m
**Crystal system**: trigonal

Unit cell a=7.860 b=7.860 c=7.860 alpha=82.79 beta=82.79 gamma=82.79
Sites, in units of the cell vectors:
La  0.000  0.000  0.000
La  0.341  0.341  0.341
Mg  0.019  0.019  0.512
Mg  0.019  0.512  0.019
Mg  0.167  0.674  0.674
Mg  0.319  0.319  0.840
Mg  0.319  0.840  0.319
Mg  0.364  0.672  0.979
Mg  0.364  0.979  0.672
Mg  0.512  0.019  0.019
Mg  0.672  0.364  0.979
Mg  0.672  0.979  0.364
Mg  0.674  0.167  0.674
Mg  0.674  0.674  0.167
Mg  0.767  0.767  0.767
Mg  0.840  0.319  0.319
Mg  0.979  0.364  0.672
Mg  0.979  0.672  0.364
Pb  0.570  0.570  0.570

=====

(3)
A plane-wave DFT calculation with PBE-GGA was carried out for a relaxed SbPb2Se crystal.

Output
**Raw formation energy**: -62 kJ/mol of formula units
**Polymorph energy (0 for the lowest one)**: 0.048 eV/atom
**Symmetry**: R-3m
**Crystal system**: trigonal

Unit cell a=8.104 b=8.104 c=8.104 alpha=30.90 beta=30.90 gamma=30.90
Sites, in units of the cell vectors:
Sb  0.000  0.000  0.000
Pb  0.246  0.246  0.246
Pb  0.754  0.754  0.754
Se  0.500  0.500  0.500

=====

(4)
A plane-wave DFT calculation with PBE-GGA was carried out for a relaxed Dy5Rh2Pb crystal.

Output
**ΔE_f**: -5.24 eV per formula unit
**Symmetry**: I4/mcm
**Crystal system**: tetragonal

Unit cell a=8.724 b=8.724 c=8.724 alpha=126.86 beta=126.86 gamma=78.48
Sites, in units of the cell vectors:
Dy  0.000  0.000  0.000
Dy  0.023  0.523  0.815
Dy  0.208  0.023  0.500
Dy  0.292  0.792  0.815
Dy  0.477  0.292  0.500
Dy  0.500  0.500  0.000
Dy  0.523  0.708  0.500
Dy  0.708  0.208  0.185
Dy  0.792  0.977  0.500
Dy  0.977  0.477  0.185
Rh  0.140  0.360  0.500
Rh  0.360  0.860  0.220
Rh  0.640  0.140  0.780
Rh  0.860  0.640  0.500
Pb  0.250  0.250  0.000
Pb  0.750  0.750  0.000

=====

(5)
A plane-wave DFT calculation with PBE-GGA was carried out for a relaxed BaIn4Te7 crystal.

Output
**Raw formation energy**: -639 kJ/mol of formula units
**Symmetry**: Pmn2_1
**Crystal system**: orthorhombic

Unit cell a=17.612 b=7.488 c=7.233 alpha=90.00 beta=90.00 gamma=90.00
Sites, in units of the cell vectors:
Ba  0.000  0.105  0.000
Ba  0.500  0.895  0.500
In  0.121  0.655  0.727
In  0.250  0.170  0.717
In  0.250  0.830  0.217
In  0.379  0.345  0.227
In  0.621  0.345  0.227
In  0.750  0.170  0.717
In  0.750  0.830  0.217
In  0.879  0.655  0.727
Te  0.000  0.858  0.578
Te  0.106  0.700  0.113
Te  0.107  0.297  0.611
Te  0.234  0.199  0.114
Te  0.266  0.801  0.614
Te  0.393  0.703  0.111
Te  0.394  0.300  0.613
Te  0.500  0.142  0.078
Te  0.606  0.300  0.613
Te  0.607  0.703  0.111
Te  0.734  0.801  0.614
Te  0.766  0.199  0.114
Te  0.893  0.297  0.611
Te  0.894  0.700  0.113

=====

(6)
A plane-wave DFT calculation with PBE-GGA was carried out for a relaxed BSbPb2 crystal.

Output
**Raw formation energy**: 382 kJ/mol of formula units
**Polymorph energy (0 for the lowest one)**: 0.432 eV/atom
**Symmetry**: Fm-3m
**Crystal system**: cubic

Unit cell a=5.266 b=5.266 c=5.266 alpha=60.00 beta=60.00 gamma=60.00
Sites, in units of the cell vectors:
B  0.000  0.000  0.000
Sb  0.500  0.500  0.500
Pb  0.250  0.250  0.250
Pb  0.750  0.750  0.750

=====

(7)
A plane-wave DFT calculation with PBE-GGA was carried out for a relaxed Zn5P2Pd12 crystal.

Output
**ΔE_f**: -7.40 eV per formula unit
**Symmetry**: C2/m
**Crystal system**: monoclinic

Unit cell a=7.456 b=7.456 c=5.566 alpha=93.44 beta=93.44 gamma=68.16
Sites, in units of the cell vectors:
Zn  0.000  0.000  0.000
Zn  0.243  0.243  0.042
Zn  0.305  0.305  0.580
Zn  0.695  0.695  0.420
Zn  0.757  0.757  0.958
P  0.249  0.751  0.500
P  0.751  0.249  0.500
Pd  0.060  0.575  0.299
Pd  0.101  0.101  0.408
Pd  0.175  0.625  0.864
Pd  0.375  0.825  0.136
Pd  0.425  0.940  0.701
Pd  0.454  0.454  0.258
Pd  0.546  0.546  0.742
Pd  0.575  0.060  0.299
Pd  0.625  0.175  0.864
Pd  0.825  0.375  0.136
Pd  0.899  0.899  0.592
Pd  0.940  0.425  0.701

=====

(8)
A plane-wave DFT calculation with PBE-GGA was carried out for a relaxed CsK2InCl6 crystal.

Output
**Raw formation energy**: -1586 kJ/mol of formula units
**Polymorph energy (0 for the lowest one)**: 0.000 eV/atom
**Symmetry**: R3
**Crystal system**: trigonal

Unit cell a=8.161 b=8.161 c=8.161 alpha=57.09 beta=57.09 gamma=57.09
Sites, in units of the cell vectors:
Cs  0.000  0.000  0.000
K  0.280  0.280  0.280
K  0.795  0.795  0.795
In  0.484  0.484  0.484
Cl  0.140  0.660  0.418
Cl  0.268  0.570  0.819
Cl  0.418  0.140  0.660
Cl  0.570  0.819  0.268
Cl  0.660  0.418  0.140
Cl  0.819  0.268  0.570

=====

Volume values (in Å³/f.u.) by entry order: 115.63, 474.97, 124.54, 205.78, 476.94, 103.24, 286.45, 358.55.